Computed, not measured: crystalline BaBeNi2 at its relaxed geometry at the PBEsol level of DFT.

```
4
Lattice="-3.814 -0.754 -0.284 -1.812 -2.405 3.957 -2.802 3.072 2.727" Properties=species:S:1:pos:R:3 pbc="T T T"
Ni -2.032 -0.156 0.943
Ba -4.218 -0.036 3.236
Ni -4.595 0.632 6.513
Be -6.412 0.096 5.591
```

The value obtained for the density of states at the Fermi level is 2.136 states/eV per cell. The total DFT energy (no corrections) comes out at -4.1490 eV/atom. The formation energy comes out at 1.868 eV per formula unit. The space group is Imm2.

***

Computed, not measured: crystalline BaBe2Ni at its relaxed geometry at the PBEsol level of DFT.

```
4
Lattice="3.048 0.000 0.000 0.000 3.048 0.000 0.000 0.000 6.959" Properties=species:S:1:pos:R:3 pbc="T T T"
Ba 1.524 1.524 5.137
Ni 0.000 0.000 2.736
Be 1.524 1.524 1.865
Be 0.000 0.000 0.699
```

The value obtained for the density of states at the Fermi level is 2.357 states/eV per cell. The total DFT energy (no corrections) comes out at -3.6612 eV/atom. The formation energy comes out at 1.662 eV per formula unit. The space group is P4mm.

***

Computed, not measured: crystalline BaBe2Ni at its relaxed geometry at the PBEsol level of DFT.

```
4
Lattice="-2.767 0.650 0.683 -0.623 -4.429 1.691 1.411 1.455 4.330" Properties=species:S:1:pos:R:3 pbc="T T T"
Ba -1.383 0.325 0.342
Ni -0.990 -1.162 3.352
Be 0.705 0.727 2.165
Be -0.311 -2.214 0.845
```

The value obtained for the density of states at the Fermi level is 2.720 states/eV per cell. The total DFT energy (no corrections) comes out at -2.9745 eV/atom. The formation energy comes out at 4.409 eV per formula unit. The space group is P4/mmm.

***

Computed, not measured: crystalline BaBeO2 at its relaxed geometry at the PBEsol level of DFT.

```
4
Lattice="3.139 0.000 0.000 1.569 2.718 0.000 1.569 0.906 6.422" Properties=species:S:1:pos:R:3 pbc="T T T"
O 1.569 0.906 4.073
Ba 0.000 0.000 0.000
O 4.708 2.718 2.348
Be 3.139 1.812 3.211
```

The value obtained for the density of states at the Fermi level is 1.535 states/eV per cell. The total DFT energy (no corrections) comes out at -5.0968 eV/atom. The raw formation energy comes out at -3.74 eV per formula unit. The space group is R-3m.

***

Computed, not measured: crystalline BaBePO2 at its relaxed geometry at the PBEsol level of DFT.

```
5
Lattice="-0.911 4.119 -0.516 -3.671 -0.553 2.068 2.923 1.342 5.549" Properties=species:S:1:pos:R:3 pbc="T T T"
O -0.455 2.059 -0.258
O -1.836 -0.276 1.034
Be -0.829 2.454 3.550
P 1.462 0.671 2.775
Ba 0.000 0.000 0.000
```

The value obtained for the density of states at the Fermi level is 3.033 states/eV per cell. The total DFT energy (no corrections) comes out at -3.8142 eV/atom. The raw formation energy comes out at 3.37 eV per formula unit. The space group is P4/mmm.

***

Computed, not measured: crystalline BaBe2Os at its relaxed geometry at the PBEsol level of DFT.

```
4
Lattice="2.893 -0.005 -0.006 -0.205 4.734 -0.019 -0.205 -0.832 4.660" Properties=species:S:1:pos:R:3 pbc="T T T"
Be -0.102 2.367 -0.009
Ba 1.447 -0.003 -0.003
Os 1.242 1.948 2.318
Be -0.102 -0.416 2.330
```

The value obtained for the density of states at the Fermi level is 2.948 states/eV per cell. The total DFT energy (no corrections) comes out at -4.4551 eV/atom. The formation energy comes out at 4.545 eV per formula unit. The space group is C2/m.

***

Computed, not measured: crystalline BaBe2Os at its relaxed geometry at the PBEsol level of DFT.

```
4
Lattice="-2.785 0.444 0.539 0.054 -3.766 3.387 2.524 4.766 1.471" Properties=species:S:1:pos:R:3 pbc="T T T"
Ba -0.792 1.831 2.049
Os -1.246 -1.342 2.315
Be 0.570 -0.428 3.302
Be -0.310 1.167 5.090
```

The value obtained for the density of states at the Fermi level is 2.040 states/eV per cell. The total DFT energy (no corrections) comes out at -4.6294 eV/atom. The formation energy comes out at 3.847 eV per formula unit. The space group is Imm2.

***

Computed, not measured: crystalline BaBeP4 at its relaxed geometry at the PBEsol level of DFT.

```
6
Lattice="-1.932 1.745 -4.843 2.439 -1.586 -4.665 -2.544 -3.518 -3.374" Properties=species:S:1:pos:R:3 pbc="T T T"
P 0.685 -2.111 -7.276
Be 0.000 0.000 0.000
Ba -1.527 -2.520 -9.662
P -1.840 -0.187 -7.378
P -2.193 -3.227 -6.530
P -0.724 -1.195 -4.581
```

The value obtained for the density of states at the Fermi level is 2.966 states/eV per cell. The total DFT energy (no corrections) comes out at -4.6856 eV/atom. The formation energy comes out at 1.201 eV per formula unit. The space group is F-43m.